Compound: SbPRh3
Source: Alexandria via LeMat-Bulk
Functional: PBE-GGA
Structure: optimized geometry

Cell lengths 4.4552, 4.4552, 4.4552 Å; angles 90.00, 90.00, 90.00 degrees
With the nearest neighbours (Å) after each atom.
Space group Pm-3m (No. 221)
Unique sites:
Sb  0.0000  0.0000  0.0000  12 Rh 3.15
P  0.5000  0.5000  0.5000  6 Rh 2.23
Rh  0.0000  0.5000  0.5000  2 P 2.23

**Crystal system**: cubic
**Raw formation energy**: -61 meV per atom
**Density of states at the Fermi level**: 8.6 states/eV/cell
**E above lowest polymorph**: 0 meV/atom